An optimized crystal structure of CsMgCd2Os, computed with PBE.

Cell lengths 5.404, 5.404, 5.188 Å; angles 90.00, 90.00, 90.00 degrees
Sites, in units of the cell vectors:
Cs 0.000 0.000 0.000
Mg 0.500 0.500 0.000
Cd 0.000 0.500 0.500
Cd 0.500 0.000 0.500
Os 0.500 0.500 0.500

energy of formation from the pure elements = 0.409 eV/atom
SG = P4/mmm, No. 123
density of states at the Fermi level = 2.871 states/eV/cell
energy = -2.693 eV/atom
ρ = 6.272 Mg/m³